Below is an optimized crystal structure of BaPtC2, with properties calculated at the PBE level.

a b c (Å): 4.4873 4.4873 4.4873
angles (deg): 60.00 60.00 60.00
Last column: nearest neighbours and their distance in Å.
Atoms (fractional coordinates):
Ba 0.0000 0.0000 0.0000  8 C 2.75
Pt 0.5000 0.5000 0.5000  8 C 2.75
C 0.2500 0.2500 0.2500  4 Pt 2.75, 4 Ba 2.75
C 0.7500 0.7500 0.7500  4 Ba 2.75, 4 Pt 2.75

- total magnetic moment (μB per formula unit) = 0.00
- excess energy over the best structure of this formula in the dataset (eV/atom) = 1.022
- ΔH_f (0 K) (eV/atom) = 1.8737